1:
# Pr2Nd5Sm2

A relaxed Pr2Nd5Sm2 crystal (GGA-PBE, Alexandria via LeMat-Bulk).

Results
Total moment (μB/atom): 0.000

Lattice parameters (Å, degrees): 15.178 12.123 6.933 90.00 90.00 90.00
Space group Ima2 (No. 46)
One atom of each set of equivalent atoms:
Pr: 0.126 0.004 0.000
Nd: 0.053 0.749 0.149
Nd: 0.143 0.233 0.322
Nd: 0.250 0.738 0.350
Sm: 0.000 0.000 0.469
Sm: 0.250 0.006 0.535

2:
# Pr2Nd5Sm2

A relaxed Pr2Nd5Sm2 crystal (GGA-PBE, Alexandria via LeMat-Bulk).

Results
Total moment (μB/atom): 0.000

Lattice parameters (Å, degrees): 15.594 5.206 8.212 90.00 108.53 90.00
Space group C2/m (No. 12)
One atom of each set of equivalent atoms:
Pr: 0.166 0.000 0.000
Nd: 0.000 0.500 0.000
Nd: 0.056 0.000 0.334
Nd: 0.111 0.500 0.665
Sm: 0.222 0.500 0.334

Stability summary - winner: 2; margin: 174 meV/atom.